No. 1
PRh: relaxed, PBE.

POSCAR file:
```
PRh
1.0
8.867 0.000 0.000
-4.434 7.679 0.000
0.000 0.000 3.589
P Rh
6 6
Direct
0.074 0.371 0.250
0.297 0.926 0.250
0.371 0.297 0.750
0.629 0.703 0.250
0.703 0.074 0.750
0.926 0.629 0.750
0.087 0.644 0.250
0.356 0.443 0.250
0.443 0.087 0.750
0.557 0.913 0.250
0.644 0.557 0.750
0.913 0.356 0.750
```

Results
ΔH_f (0 K) (eV/atom): -0.472
DOS at the Fermi energy (states/eV/atom): 0.38



No. 2
Pm2TlCd5: relaxed, PBE.

POSCAR file:
```
Pm2TlCd5
1.0
6.714 0.000 0.000
0.000 13.423 0.000
0.000 0.000 4.563
Pm Tl Cd
4 2 10
Direct
0.239 0.122 0.000
0.261 0.622 0.000
0.739 0.378 0.000
0.761 0.878 0.000
0.000 0.000 0.500
0.500 0.500 0.500
0.000 0.500 0.500
0.010 0.747 0.500
0.236 0.370 0.000
0.264 0.870 0.000
0.490 0.247 0.500
0.500 0.000 0.500
0.510 0.753 0.500
0.736 0.130 0.000
0.764 0.630 0.000
0.990 0.253 0.500
```

Results
ΔH_f (0 K) (eV/atom): -0.269
DOS at the Fermi energy (states/eV/atom): 1.02
Energy relative to the lowest polymorph listed for this composition (meV per atom): 0



No. 3
SnPb3S6: relaxed, PBE.

POSCAR file:
```
SnPb3S6
1.0
0.000 5.238 5.586
4.655 0.000 5.586
4.655 5.238 0.000
Sn Pb S
1 3 6
Direct
0.000 0.000 0.000
0.250 0.250 0.250
0.500 0.500 0.500
0.750 0.750 0.750
0.083 0.917 0.629
0.242 0.242 0.758
0.371 0.629 0.917
0.629 0.371 0.083
0.758 0.758 0.242
0.917 0.083 0.371
```

Results
E_form (uncorrected) (eV/atom): -0.163
DOS at the Fermi energy (states/eV/atom): 0.10



No. 4
SrCu2Tc: relaxed, PBE.

POSCAR file:
```
SrCu2Tc
1.0
-2.251 2.626 3.365
2.251 -2.626 3.365
2.251 2.626 -3.365
Sr Cu Tc
1 2 1
Direct
0.000 0.000 0.000
0.302 0.802 0.500
0.698 0.198 0.500
0.500 0.500 0.000
```

Results
ΔH_f (0 K) (eV/atom): 0.644
DOS at the Fermi energy (states/eV/atom): 0.77
Energy relative to the lowest polymorph listed for this composition (meV per atom): 333



No. 5
Nd6Te3Ir2Se: relaxed, PBE.

POSCAR file:
```
Nd6Te3Ir2Se
1.0
9.695 -2.137 0.000
9.695 2.137 0.000
-2.550 0.000 8.620
Nd Te Ir Se
6 3 2 1
Direct
0.016 0.016 0.248
0.324 0.324 0.436
0.332 0.332 0.876
0.668 0.668 0.124
0.676 0.676 0.564
0.984 0.984 0.752
0.160 0.160 0.842
0.500 0.500 0.500
0.840 0.840 0.158
0.168 0.168 0.338
0.832 0.832 0.662
0.500 0.500 0.000
```

Results
E_form (uncorrected) (eV/atom): -1.256
DOS at the Fermi energy (states/eV/atom): 0.37



No. 6
TiMnCu3: relaxed, PBE.

POSCAR file:
```
TiMnCu3
1.0
4.328 0.000 0.000
0.000 4.328 0.000
0.000 0.000 4.328
Ti Mn Cu
1 1 3
Direct
0.000 0.000 0.000
0.500 0.500 0.500
0.000 0.500 0.500
0.500 0.000 0.500
0.500 0.500 0.000
```

Results
ΔH_f (0 K) (eV/atom): 1.105
DOS at the Fermi energy (states/eV/atom): 1.62
Energy relative to the lowest polymorph listed for this composition (meV per atom): 0